[1]
LaSm2Th3Se6: optimized geometry, GGA-PBE.

a b c (Å): 7.2037 7.2037 7.3894
angles (deg): 99.30 99.30 119.36
Element x y z (fractional)
Se 0.9172 0.5775 0.7515
Se 0.0828 0.4225 0.2485
Se 0.4225 0.0828 0.2485
Se 0.2586 0.2586 0.7560
Se 0.7414 0.7414 0.2440
Se 0.5775 0.9172 0.7515
Th 0.1633 0.8367 0.5000
Th 0.5000 0.5000 0.5000
Th 0.8367 0.1633 0.5000
Sm 0.6670 0.3330 0.0000
Sm 0.3330 0.6670 0.0000
La 0.0000 0.0000 0.0000

The calculation puts the formation energy from raw total energies at -1696 meV per atom.

[2]
SrIn3Ag: optimized geometry, GGA-PBE.

a b c (Å): 6.1999 6.1999 6.1999
angles (deg): 90.00 90.00 90.00
Element x y z (fractional)
Ag 0.5000 0.5000 0.5000
In 0.5000 0.0000 0.0000
In 0.0000 0.0000 0.5000
In 0.0000 0.5000 0.0000
Sr 0.0000 0.0000 0.0000

As for the energy of formation from the pure elements: 0.91 eV per atom.

[3]
LaSiMo: optimized geometry, GGA-PBE.

a b c (Å): 4.8693 4.8693 4.8693
angles (deg): 60.00 60.00 60.00
Last column: magnetic moment on the atom in μB.
Element x y z (fractional)
Si 0.5000 0.5000 0.5000  -0.03
La 0.2500 0.2500 0.2500  0.22
Mo 0.0000 0.0000 0.0000  2.72

The calculation puts the formation energy from raw total energies at 1237 meV per atom.

[4]
Y5NpRu4: optimized geometry, GGA-PBE.

a b c (Å): 4.5564 6.8692 8.1102
angles (deg): 103.19 106.31 90.00
Last column: magnetic moment on the atom in μB.
Element x y z (fractional)
Ru 0.6426 0.2655 0.2853  -0.14
Ru 0.3574 0.7345 0.7147  -0.14
Ru 0.0031 0.2193 0.0062  -0.22
Ru 0.9969 0.7807 0.9938  -0.22
Y 0.5000 0.5000 0.0000  0.02
Y 0.1716 0.0431 0.3431  0.02
Y 0.8318 0.4576 0.6637  0.03
Y 0.8284 0.9569 0.6569  0.02
Y 0.1682 0.5424 0.3363  0.03
Np 0.5000 0.0000 0.0000  2.24

As for the energy of formation from the pure elements: -0.25 eV per atom.

[5]
Tl3AsCl: optimized geometry, GGA-PBE.

a b c (Å): 5.8373 5.8373 5.8373
angles (deg): 90.00 90.00 90.00
Element x y z (fractional)
Tl 0.5000 0.0000 0.0000
Tl 0.0000 0.5000 0.0000
Tl 0.0000 0.0000 0.5000
Cl 0.5000 0.5000 0.5000
As 0.0000 0.0000 0.0000

The value obtained for the energy relative to the lowest polymorph listed for this composition is 22.53 kJ/mol of atoms. The calculation puts the formation energy from raw total energies at -48 meV per atom.

[6]
SrPdW: optimized geometry, GGA-PBE.

a b c (Å): 3.3231 6.1557 9.0541
angles (deg): 128.34 100.59 89.99
Element x y z (fractional)
Pd 0.9431 0.7473 0.0806
Pd 0.5669 0.2343 0.3279
Sr 0.6158 0.8332 0.4254
Sr 0.2622 0.6196 0.7188
W 0.9422 0.2111 0.0786
W 0.3617 0.3034 0.9171

The value obtained for the energy relative to the lowest polymorph listed for this composition is 11.35 kJ/mol of atoms. As for the energy of formation from the pure elements: 0.27 eV per atom.